1.
## Sc5NbN6 (PBE)

Data for crystalline Sc5NbN6 at its relaxed geometry.

CIF file:
```
data_Sc5NbN6
_symmetry_space_group_name_H-M 'C 1 2/m 1'
_symmetry_Int_Tables_number 12
_cell_length_a 5.5000
_cell_length_b 9.5214
_cell_length_c 5.4952
_cell_angle_alpha 90.00
_cell_angle_beta 109.49
_cell_angle_gamma 90.00
loop_
_symmetry_equiv_pos_as_xyz
'x,y,z'
'-x,-y,-z'
'-x,y,-z'
'x,-y,z'
'x+1/2,y+1/2,z'
'-x+1/2,-y+1/2,-z'
'-x+1/2,y+1/2,-z'
'x+1/2,-y+1/2,z'
loop_
_atom_site_label
_atom_site_fract_x
_atom_site_fract_y
_atom_site_fract_z
_atom_site_occupancy
Sc1 0.0000 0.0000 0.0000 1
Sc2 0.0000 0.1668 0.5000 1
Sc3 0.0000 0.3324 0.0000 1
Nb1 0.0000 0.5000 0.5000 1
N1 0.2452 0.5000 0.2534 1
N2 0.2461 0.3361 0.7460 1
```

Energy relative to the elements, uncorrected = -1.81 eV/atom
Raw total energy = -9.45 eV/atom
Total magnetization = 0.000 μB/atom
DOS at the Fermi energy = 2.34 states/eV/f.u.

***

2.
## ScNbSeN2 (PBE)

Data for crystalline ScNbSeN2 at its relaxed geometry.

CIF file:
```
data_ScNbSeN2
_symmetry_space_group_name_H-M 'P 4/m m m'
_symmetry_Int_Tables_number 123
_symmetry_space_group_name_Hall '-P 4 2'
_cell_length_a 4.0228
_cell_length_b 4.0228
_cell_length_c 5.1016
_cell_angle_alpha 90.00
_cell_angle_beta 90.00
_cell_angle_gamma 90.00
loop_
_atom_site_label
_atom_site_fract_x
_atom_site_fract_y
_atom_site_fract_z
_atom_site_occupancy
Sc1 0.0000 0.0000 0.0000 1
Nb1 0.5000 0.5000 0.5000 1
Se1 0.0000 0.0000 0.5000 1
N1 0.0000 0.5000 0.0000 1
```

Energy relative to the elements, uncorrected = 0.65 eV/atom
Raw total energy = -6.66 eV/atom
E above lowest polymorph = 0.9629 eV per atom
Total magnetization = 0.002 μB/atom
DOS at the Fermi energy = 6.54 states/eV/f.u.

***

3.
## ScNbSeN2 (PBE)

Data for crystalline ScNbSeN2 at its relaxed geometry.

CIF file:
```
data_ScNbSeN2
_symmetry_space_group_name_H-M 'P 4/m m m'
_symmetry_Int_Tables_number 123
_symmetry_space_group_name_Hall '-P 4 2'
_cell_length_a 4.0285
_cell_length_b 4.0285
_cell_length_c 5.2190
_cell_angle_alpha 90.00
_cell_angle_beta 90.00
_cell_angle_gamma 90.00
loop_
_atom_site_label
_atom_site_fract_x
_atom_site_fract_y
_atom_site_fract_z
_atom_site_occupancy
Sc1 0.0000 0.0000 0.0000 1
Nb1 0.5000 0.5000 0.5000 1
Se1 0.5000 0.5000 0.0000 1
N1 0.0000 0.5000 0.5000 1
```

Energy relative to the elements, uncorrected = -0.32 eV/atom
Raw total energy = -7.63 eV/atom
E above lowest polymorph = 0.0000 eV per atom
Total magnetization = 0.000 μB/atom
DOS at the Fermi energy = 2.34 states/eV/f.u.